16
Lattice="-4.564 4.722 6.824 4.564 -4.722 6.824 4.564 4.722 -6.824" Properties=species:S:1:pos:R:3 comment="Rb2PmMnTe4 | Alexandria | PBE | relaxed" e_tot_ev_per_cell=-70.18 raw_formation_energy_ev_per_fu=-6.67 magnetic_moment_mub_per_fu=4.007 sg="Imma, No. 74" pbc="T T T"
Rb 0.000 0.000 0.000
Rb -2.282 2.361 3.412
Rb 0.000 4.722 0.000
Rb 2.282 2.361 3.412
Pm 4.564 0.000 0.000
Pm 0.000 0.000 6.824
Mn 2.282 2.361 -3.412
Mn 2.282 -2.361 3.412
Te 4.564 -0.622 3.250
Te 4.564 4.099 -3.250
Te 2.512 2.361 -0.172
Te 6.615 2.361 -0.172
Te -2.051 2.361 6.997
Te 2.051 2.361 6.997
Te 0.000 0.622 10.074
Te 0.000 5.344 3.575

=====

16
Lattice="4.541 2.622 8.556 -4.541 2.622 8.556 0.000 -5.244 8.556" Properties=species:S:1:pos:R:3 comment="Rb4Pm3MnTe8 | Alexandria | PBE | relaxed" e_tot_ev_per_cell=-70.52 raw_formation_energy_ev_per_fu=-18.10 magnetic_moment_mub_per_fu=4.032 sg="R-3m, No. 166" pbc="T T T"
Rb 0.000 0.000 0.000
Rb -2.271 -1.311 8.556
Rb -2.271 1.311 17.113
Rb 0.000 2.622 8.556
Pm -4.541 0.000 12.834
Pm -2.271 1.311 4.278
Pm 2.271 1.311 4.278
Mn 0.000 0.000 12.834
Te 0.000 0.000 6.049
Te -2.121 -1.225 14.487
Te 0.000 -2.449 11.182
Te -2.121 1.225 11.182
Te 2.121 -1.225 14.487
Te 0.000 2.449 14.487
Te 2.121 1.225 11.182
Te 0.000 0.000 19.620